Record 1
Rb2ReBiBr6 after structural relaxation. Source: Alexandria via LeMat-Bulk, functional GGA-PBE.

Total DFT energy (no corrections): -0.1272 hartree per atom
SG: I4/mmm, No. 139

```
Rb2ReBiBr6
1.0
-6.304 -0.606 4.940
-0.240 -7.926 -1.279
0.240 -5.080 6.213
Br Rb Bi Re
6 2 1 1
direct
0.730 0.730 0.540
0.730 0.270 0.000
0.270 0.270 0.000
0.270 0.730 0.000
0.270 0.270 0.460
0.730 0.730 0.000
0.750 0.250 0.500
0.250 0.750 0.500
0.000 0.000 0.000
0.500 0.500 0.000
```

***

Record 2
SrNiH3 after structural relaxation. Source: Alexandria via LeMat-Bulk, functional GGA-PBE.

Total DFT energy (no corrections): -0.1395 hartree per atom
SG: P2_1/c, No. 14

```
SrNiH3
1.0
-8.762 -13.482 -6.149
4.621 -3.223 0.483
2.542 4.311 4.447
H Ni Sr
12 4 4
direct
0.272 0.938 0.770
0.151 0.750 0.151
0.651 0.750 0.651
0.728 0.062 0.230
0.455 0.132 0.957
0.849 0.250 0.849
0.772 0.562 0.270
0.045 0.632 0.543
0.955 0.368 0.457
0.349 0.250 0.349
0.228 0.438 0.730
0.545 0.868 0.043
0.096 0.342 0.598
0.904 0.658 0.402
0.404 0.842 0.902
0.596 0.158 0.098
0.600 0.249 0.601
0.900 0.749 0.899
0.400 0.751 0.399
0.100 0.251 0.101
```

***

Record 3
AlFeCu2 after structural relaxation. Source: Alexandria via LeMat-Bulk, functional GGA-PBE.

E_form: -0.0811 eV/atom
SG: P4mm, No. 99

```
AlFeCu2
1.0
2.693 0.000 0.000
0.000 2.693 0.000
0.000 0.000 6.853
Cu Fe Al
2 1 1
direct
0.000 0.000 0.004
0.500 0.500 0.251
0.000 0.000 0.497
0.500 0.500 0.749
```

***

Record 4
CsMgClF2 after structural relaxation. Source: Alexandria via LeMat-Bulk, functional GGA-PBE.

Total DFT energy (no corrections): -0.1558 hartree per atom
SG: P4/mmm, No. 123

```
CsMgClF2
1.0
4.437 0.000 0.000
0.000 4.437 0.000
0.000 0.000 4.998
Cl Mg F Cs
1 1 2 1
direct
0.000 0.000 0.500
0.000 0.000 0.000
0.500 0.000 0.000
0.000 0.500 0.000
0.500 0.500 0.500
```

***

Record 5
TlTcNF2 after structural relaxation. Source: Alexandria via LeMat-Bulk, functional GGA-PBE.

Total DFT energy (no corrections): -0.1670 hartree per atom
SG: P4/mmm, No. 123

```
TlTcNF2
1.0
-3.711 0.191 -2.492
-2.458 -1.087 3.577
-0.431 4.129 0.959
F Tc N Tl
2 1 1 1
direct
0.500 0.000 0.000
0.000 0.500 0.000
0.500 0.500 0.500
0.000 0.000 0.500
0.000 0.000 0.000
```

***

Record 6
Ho6IrSe4 after structural relaxation. Source: Alexandria via LeMat-Bulk, functional GGA-PBE.

Total DFT energy (no corrections): -0.2216 hartree per atom
SG: Cmcm, No. 63

```
Ho6IrSe4
1.0
3.941 0.000 0.000
-1.970 6.676 0.000
0.000 0.000 20.568
Ho Se Ir
12 8 2
direct
0.769 0.539 0.099
0.500 0.000 0.000
0.069 0.138 0.170
0.682 0.364 0.750
0.069 0.138 0.330
0.931 0.862 0.670
0.231 0.461 0.901
0.500 0.000 0.500
0.318 0.636 0.250
0.231 0.461 0.599
0.931 0.862 0.830
0.769 0.539 0.401
0.419 0.839 0.374
0.581 0.161 0.874
0.856 0.713 0.536
0.419 0.839 0.126
0.144 0.287 0.036
0.581 0.161 0.626
0.856 0.713 0.964
0.144 0.287 0.464
0.672 0.344 0.250
0.328 0.656 0.750
```

***

Record 7
Cr2RuBr after structural relaxation. Source: Alexandria via LeMat-Bulk, functional GGA-PBE.

Total DFT energy (no corrections): -0.2456 hartree per atom
SG: I-42d, No. 122

```
Cr2RuBr
1.0
-4.648 -4.212 1.221
2.615 -1.234 5.699
-3.280 0.263 5.144
Cr Ru Br
4 2 2
direct
0.875 0.905 0.750
0.375 0.345 0.750
0.095 0.625 0.250
0.655 0.125 0.250
0.000 0.000 0.000
0.750 0.250 0.500
0.250 0.750 0.500
0.500 0.500 0.000
```

***

Record 8
Pr2SmScSe4 after structural relaxation. Source: Alexandria via LeMat-Bulk, functional GGA-PBE.

Total DFT energy (no corrections): -0.2231 hartree per atom
SG: P2/m, No. 10

```
Pr2SmScSe4
1.0
-3.091 2.672 -0.113
-4.676 -5.409 0.028
1.406 1.918 6.916
Se Pr Sm Sc
4 2 1 1
direct
0.000 0.756 0.233
0.000 0.244 0.767
0.500 0.770 0.774
0.500 0.230 0.226
0.000 0.500 0.500
0.500 0.000 0.500
0.500 0.500 0.000
0.000 0.000 0.000
```

***

Record 9
Y3MgB after structural relaxation. Source: Alexandria via LeMat-Bulk, functional GGA-PBE.

E_form: -0.0454 eV/atom
SG: Pm-3m, No. 221

```
Y3MgB
1.0
5.122 0.000 0.000
0.000 5.122 0.000
0.000 0.000 5.122
Y B Mg
3 1 1
direct
0.500 0.000 0.000
0.000 0.000 0.500
0.000 0.500 0.000
0.000 0.000 0.000
0.500 0.500 0.500
```

***

Record 10
NaAlPb2 after structural relaxation. Source: Alexandria via LeMat-Bulk, functional GGA-PBE.

E_form: 0.0504 eV/atom
SG: P4/mmm, No. 123

```
NaAlPb2
1.0
-3.056 -2.609 1.920
2.859 -3.879 -0.721
2.094 0.738 4.337
Al Na Pb
1 1 2
direct
0.500 0.000 0.000
0.500 0.500 0.500
0.000 0.000 0.500
0.000 0.500 0.000
```

***

Record 11
K2RbSi after structural relaxation. Source: Alexandria via LeMat-Bulk, functional GGA-PBE.

Total DFT energy (no corrections): -0.0621 hartree per atom
SG: I-42d, No. 122

```
K2RbSi
1.0
5.564 0.000 0.000
0.000 5.564 0.000
2.782 2.782 12.224
Rb Si K
2 2 4
direct
0.750 0.250 0.500
0.000 0.000 0.000
0.500 0.500 0.000
0.250 0.750 0.500
0.875 0.827 0.750
0.173 0.625 0.250
0.375 0.423 0.750
0.577 0.125 0.250
```

***

Record 12
Ca2Mg after structural relaxation. Source: Alexandria via LeMat-Bulk, functional GGA-PBE.

E_form: 0.2136 eV/atom
SG: Pa-3, No. 205

```
Ca2Mg
1.0
7.855 0.000 0.000
0.000 7.855 0.000
0.000 0.000 7.855
Ca Mg
8 4
direct
0.849 0.151 0.651
0.651 0.651 0.651
0.651 0.849 0.151
0.849 0.349 0.151
0.349 0.151 0.849
0.151 0.651 0.849
0.349 0.349 0.349
0.151 0.849 0.349
0.000 0.500 0.500
0.500 0.500 0.000
0.500 0.000 0.500
0.000 0.000 0.000
```